(1)
Computed, not measured: an optimized crystal structure of Na8Cd6Hg at the PBE-GGA level of DFT.

Values from the calculation:
Space group = R-3
ΔE to the lowest computed polymorph = 0.017 eV/atom
Energy relative to the elements = -35 meV per atom

Cell and atoms, written as POSCAR:
```
Na8Cd6Hg
1.0
8.938 0.000 0.000
4.469 7.740 0.000
4.469 2.580 6.542
Cd Na Hg
6 8 1
Cartesian
11.957 5.106 5.694
5.918 5.214 0.848
10.494 7.748 0.848
7.474 7.802 5.694
10.401 2.518 0.848
7.381 2.572 5.694
5.967 5.188 4.176
10.447 7.719 4.176
10.399 2.574 4.176
8.938 5.160 0.025
11.908 5.132 2.366
7.476 7.747 2.366
8.938 5.160 6.517
7.428 2.601 2.366
0.000 0.000 0.000
```

---

(2)
Computed, not measured: an optimized crystal structure of Na3CdHg3 at the PBE-GGA level of DFT.

Values from the calculation:
Space group = Pm-3n
ΔE to the lowest computed polymorph = 0.339 eV/atom
Energy relative to the elements = 156 meV per atom

Cell and atoms, written as POSCAR:
```
Na3CdHg3
1.0
-3.767 -7.452 -0.957
1.917 0.082 -8.183
7.265 -3.886 1.662
Na Cd Hg
6 2 6
Cartesian
-1.867 -5.548 -4.809
0.016 -1.822 -4.331
3.565 -6.641 0.768
5.070 -1.882 -5.306
4.111 -1.923 -1.215
-0.067 -4.698 -0.063
0.000 0.000 0.000
2.707 -5.628 -3.739
0.807 -7.532 0.113
-1.405 -3.706 -2.524
-0.446 -3.665 -6.616
2.691 -3.806 0.592
2.774 -0.931 -3.676
6.407 -2.874 -2.845
```

---

(3)
Computed, not measured: an optimized crystal structure of Na5Cd2Hg2 at the PBE-GGA level of DFT.

Values from the calculation:
Space group = Ima2
ΔE to the lowest computed polymorph = 0.000 eV/atom
Energy relative to the elements = -111 meV per atom

Cell and atoms, written as POSCAR:
```
Na5Cd2Hg2
1.0
-1.113 5.441 -3.846
-0.826 -5.751 -7.897
-6.853 -0.520 7.181
Na Hg Cd
10 4 4
Cartesian
-5.700 -1.385 -0.374
-2.697 0.192 -9.493
-6.961 3.208 1.941
-6.474 0.010 3.207
-2.071 -2.050 -6.913
-2.404 -1.101 -0.926
-6.401 0.330 -3.677
-4.156 -5.071 -3.246
-4.125 1.742 0.451
-3.105 0.614 -4.229
-3.596 -1.259 2.065
-4.670 -2.144 -4.808
-1.191 0.928 -6.638
-0.222 1.084 -0.766
-6.816 -2.846 -2.899
-2.135 2.792 -2.211
-1.937 -2.425 -3.716
-7.014 2.371 -1.394
```

---

(4)
Computed, not measured: an optimized crystal structure of Na4CdHg12 at the PBE-GGA level of DFT.

Values from the calculation:
Space group = Im-3m
Energy relative to the elements = -140 meV per atom

Cell and atoms, written as POSCAR:
```
Na4CdHg12
1.0
1.853 8.091 -1.333
-2.834 -3.437 -7.130
-5.924 -0.577 5.937
Cd Hg Na
1 12 4
Cartesian
0.000 0.000 0.000
-2.865 5.288 3.240
-4.225 2.754 2.004
-4.624 -0.843 -2.712
-0.690 3.275 -5.956
-0.290 1.379 -2.507
-2.281 4.921 0.186
-1.508 4.206 -3.080
-5.397 -0.128 0.555
-2.594 -1.189 -0.353
-6.164 -2.825 -0.840
-2.680 1.323 -4.530
-1.206 2.226 1.364
-1.417 -1.719 -3.565
-3.452 2.039 -1.263
0.927 4.046 -0.666
-2.962 -0.288 2.968
```